Ni4O3: optimized geometry, PBE with a Hubbard U.

```
Ni4O3
1.0
4.161 0.000 0.000
0.000 4.161 0.000
0.000 0.000 4.161
Ni O
4 3
direct
0.500 0.500 0.500
0.000 0.000 0.500
0.500 0.000 0.000
0.000 0.500 0.000
0.500 0.500 0.000
0.000 0.500 0.500
0.500 0.000 0.500
```

Summary:
Crystal system ... cubic
Symmetry ... Pm-3m
Density ... 6515 kg/m³
E_tot ... -4.19 eV/atom
Total magnetic moment ... 6.068 μB/cell